[1]
First-principles (GGA+U) data for a geometry-optimized VSi2NF structure, as listed in Alexandria via LeMat-Bulk.

crystal system: tetragonal

a b c (Å): 4.2741 4.0813 4.2741
angles (deg): 90.00 90.00 90.00
Element x y z (fractional)
1 N 0.5000 0.5000 0.5000
2 Si 0.0000 0.0000 0.5000
3 Si 0.5000 0.0000 0.0000
4 F 0.0000 0.0000 0.0000
5 V 0.0000 0.5000 0.0000

***

[2]
First-principles (GGA+U) data for a geometry-optimized VSiNF2 structure, as listed in Alexandria via LeMat-Bulk.

relative energy among the computed polymorphs: 0.000 eV/atom
crystal system: tetragonal

a b c (Å): 4.1054 4.1054 3.3998
angles (deg): 90.00 90.00 90.00
Element x y z (fractional)
1 N 0.0000 0.0000 0.5000
2 Si 0.0000 0.0000 0.0000
3 F 0.0000 0.5000 0.0000
4 F 0.5000 0.0000 0.0000
5 V 0.5000 0.5000 0.5000

***

[3]
First-principles (GGA+U) data for a geometry-optimized VSiNF2 structure, as listed in Alexandria via LeMat-Bulk.

relative energy among the computed polymorphs: 0.117 eV/atom
crystal system: tetragonal

a b c (Å): 4.0011 4.0011 3.9659
angles (deg): 90.00 90.00 90.00
Element x y z (fractional)
1 N 0.0000 0.0000 0.5000
2 Si 0.5000 0.5000 0.5000
3 F 0.0000 0.5000 0.0000
4 F 0.5000 0.0000 0.0000
5 V 0.0000 0.0000 0.0000

***

One value per record, in order, for total DFT energy (no corrections): -4.23; -5.83; -5.71 eV per atom.